(1)
Computed, not measured: TcBrNO2 after structural relaxation at the GGA-PBEsol level of DFT.

```
TcBrNO2
1.0
3.718 0.000 0.000
0.000 3.718 0.000
0.000 0.000 4.258
Br O Tc N
1 2 1 1
Direct
0.500 0.500 0.500
0.000 0.500 0.000
0.500 0.000 0.000
0.000 0.000 0.000
0.000 0.000 0.500
```

E (eV/atom): -6.5636
Size of the total moment (μB/f.u.): 0.00
Energy relative to the elements, uncorrected (meV/atom): -131
Space group: P4/mmm

=====

(2)
Computed, not measured: AlZn2Cu after structural relaxation at the GGA-PBEsol level of DFT.

```
AlZn2Cu
1.0
-1.935 -3.130 0.778
2.881 -2.085 -1.225
1.007 2.573 3.765
Zn Cu Al
2 1 1
Direct
0.750 0.250 0.500
0.250 0.750 0.500
0.000 0.000 0.000
0.500 0.500 0.000
```

E (eV/atom): -2.9339
Size of the total moment (μB/f.u.): 0.00
Formation energy from the elements (eV per atom): -0.037
Space group: I4/mmm

=====

(3)
Computed, not measured: Cd3GaHg after structural relaxation at the GGA-PBEsol level of DFT.

```
Cd3GaHg
1.0
-4.667 1.675 1.152
-1.285 -0.195 -4.922
-1.575 -4.803 0.602
Cd Hg Ga
3 1 1
Direct
0.000 0.000 0.500
0.000 0.500 0.000
0.500 0.000 0.000
0.500 0.500 0.500
0.000 0.000 0.000
```

E (eV/atom): -1.2472
Size of the total moment (μB/f.u.): 0.00
Formation energy from the elements (eV per atom): 0.252
Space group: Pm-3m

=====

(4)
Computed, not measured: IrW2F after structural relaxation at the GGA-PBEsol level of DFT.

```
IrW2F
1.0
4.290 0.000 0.000
2.145 3.716 0.000
2.145 1.239 3.503
Ir F W
1 1 2
Direct
0.500 0.500 0.500
0.000 0.000 0.000
0.250 0.250 0.250
0.750 0.750 0.750
```

E (eV/atom): -9.8091
Size of the total moment (μB/f.u.): 0.00
Energy relative to the elements, uncorrected (meV/atom): 32
Space group: Fm-3m

=====

(5)
Computed, not measured: CaZr2W after structural relaxation at the GGA-PBEsol level of DFT.

```
CaZr2W
1.0
-2.245 -0.761 -1.827
0.032 -3.084 3.697
-3.931 4.155 3.100
Ca Zr W
1 2 1
Direct
0.000 0.000 0.500
0.761 0.521 0.796
0.239 0.479 0.204
0.500 0.000 0.000
```

E (eV/atom): -8.0561
Size of the total moment (μB/f.u.): 0.00
Formation energy from the elements (eV per atom): 0.474
Space group: C2/m

=====

(6)
Computed, not measured: K3NbRh after structural relaxation at the GGA-PBEsol level of DFT.

```
K3NbRh
1.0
-0.392 -2.823 4.976
5.382 -1.872 -0.638
1.939 4.627 2.778
K Rh Nb
3 1 1
Direct
0.000 0.500 0.000
0.000 0.000 0.500
0.500 0.000 0.000
0.000 0.000 0.000
0.500 0.500 0.500
```

E (eV/atom): -2.7930
Size of the total moment (μB/f.u.): 5.39
Formation energy from the elements (eV per atom): 1.679
Space group: Pm-3m